No. 1
Here is crystalline BaNaPO4 at its relaxed geometry from Alexandria. Energies are from PBEsol.

## Properties
Energy relative to the elements, uncorrected = -2635.0 meV/atom

Structure (extended XYZ):
```
14
Lattice="5.5879 0.0000 0.0000 -2.7940 4.8393 0.0000 0.0000 0.0000 7.2800" Properties=species:S:1:pos:R:3 pbc="T T T"
Ba 0.0000 0.0000 0.0000
Ba 0.0000 3.2262 2.6045
Na 0.0000 0.0000 3.7436
Na 2.7940 1.6131 5.1399
P 0.0000 3.2262 5.7543
P 2.7940 1.6131 1.6240
O 0.0000 1.7800 5.1777
O -1.2524 3.9493 5.1777
O 0.0000 3.2262 0.0119
O 1.5317 0.8844 2.1878
O 1.2524 3.9493 5.1777
O 2.7940 1.6131 0.0931
O 4.0562 0.8844 2.1878
O 2.7940 3.0706 2.1878
```

---

No. 2
Here is crystalline Pt3Au at its relaxed geometry from Alexandria. Energies are from PBEsol.

## Properties
Energy of formation = 2.39 kcal/mol of atoms

Structure (extended XYZ):
```
8
Lattice="5.5192 0.0000 0.0000 -2.7596 4.7797 0.0000 0.0000 0.0000 4.7080" Properties=species:S:1:pos:R:3 pbc="T T T"
Pt 0.0000 1.5784 1.1770
Pt -1.3927 3.9905 1.1770
Pt 1.3669 0.7892 3.5310
Pt 1.3927 3.9905 1.1770
Pt 4.1523 0.7892 3.5310
Pt 2.7596 3.2014 3.5310
Au 0.0000 3.1865 3.5310
Au 2.7596 1.5932 1.1770
```

---

No. 3
Here is crystalline Al2SbRu at its relaxed geometry from Alexandria. Energies are from PBEsol.

## Properties
Energy relative to the elements, uncorrected = 231.5 meV/atom

Structure (extended XYZ):
```
8
Lattice="-3.8587 3.8587 2.5501 3.8587 -3.8587 2.5501 3.8587 3.8587 -2.5501" Properties=species:S:1:pos:R:3 pbc="T T T"
Al 1.9294 1.4326 -0.6375
Al 2.4261 -1.9294 3.1876
Al 1.9294 2.4261 1.9126
Al 1.4326 5.7881 0.6375
Sb 3.8587 0.0000 1.2750
Sb 0.0000 0.0000 2.5501
Ru 0.0000 0.0000 0.0000
Ru 0.0000 3.8587 1.2750
```

---

No. 4
Here is crystalline K2ScTa at its relaxed geometry from Alexandria. Energies are from PBEsol.

## Properties
Energy of formation = 15.40 kcal/mol of atoms

Structure (extended XYZ):
```
4
Lattice="3.1694 0.0000 0.0000 0.0000 3.1694 0.0000 0.0000 0.0000 12.6091" Properties=species:S:1:pos:R:3 pbc="T T T"
K 0.0000 0.0000 0.0000
K 1.5847 1.5847 4.2035
Sc 0.0000 0.0000 7.6582
Ta 1.5847 1.5847 9.5343
```

---

No. 5
Here is crystalline K2BaBe at its relaxed geometry from Alexandria. Energies are from PBEsol.

## Properties
Energy of formation = 15.18 kcal/mol of atoms

Structure (extended XYZ):
```
4
Lattice="4.5511 0.0000 0.0000 0.0000 6.6646 0.0000 -0.6361 0.0000 5.7451" Properties=species:S:1:pos:R:3 pbc="T T T"
K 0.7657 0.0000 1.6249
K 3.1493 0.0000 4.1202
Ba 2.2756 3.3323 0.0000
Be -0.3180 3.3323 2.8726
```

---

No. 6
Here is crystalline CdTe2Rh at its relaxed geometry from Alexandria. Energies are from PBEsol.

## Properties
Energy relative to the elements, uncorrected = 25.5 meV/atom

Structure (extended XYZ):
```
4
Lattice="3.1127 0.0000 0.0000 0.0000 3.2694 0.0000 0.0000 0.0000 8.9241" Properties=species:S:1:pos:R:3 pbc="T T T"
Cd 0.0000 0.0000 0.0000
Te 1.5564 1.6347 2.7575
Te 1.5564 1.6347 6.1666
Rh 0.0000 0.0000 4.4621
```

---

No. 7
Here is crystalline ScSe3 at its relaxed geometry from Alexandria. Energies are from PBEsol.

## Properties
Energy relative to the elements, uncorrected = -715.6 meV/atom

Structure (extended XYZ):
```
4
Lattice="-1.8782 1.8782 6.0692 1.8782 -1.8782 6.0692 1.8782 1.8782 -6.0692" Properties=species:S:1:pos:R:3 pbc="T T T"
Sc 0.0000 0.0000 0.0000
Se 1.8782 0.0000 3.0346
Se 0.0000 0.0000 6.0692
Se 0.0000 1.8782 3.0346
```

---

No. 8
Here is crystalline LiCr2TcSe at its relaxed geometry from Alexandria. Energies are from PBEsol.

## Properties
Energy relative to the elements, uncorrected = 1116.0 meV/atom

Structure (extended XYZ):
```
5
Lattice="4.4916 0.0000 0.0000 0.0000 4.4916 0.0000 0.0000 0.0000 4.6586" Properties=species:S:1:pos:R:3 pbc="T T T"
Li 0.0000 0.0000 0.0000
Cr 0.0000 2.2458 2.3293
Cr 2.2458 0.0000 2.3293
Tc 0.0000 0.0000 2.3293
Se 2.2458 2.2458 0.0000
```

---

No. 9
Here is crystalline TlPOs at its relaxed geometry from Alexandria. Energies are from PBEsol.

## Properties
Energy of formation = 4.99 kcal/mol of atoms

Structure (extended XYZ):
```
3
Lattice="3.1572 0.0000 0.0000 -1.5786 2.7342 0.0000 0.0000 0.0000 6.2147" Properties=species:S:1:pos:R:3 pbc="T T T"
Tl 0.0000 0.0000 0.0000
P 0.0000 1.8228 2.4887
Os 1.5786 0.9114 3.8972
```

---

No. 10
Here is crystalline Pr3Dy at its relaxed geometry from Alexandria. Energies are from PBEsol.

## Properties
Energy of formation = 0.17 kcal/mol of atoms

Structure (extended XYZ):
```
4
Lattice="5.0756 0.0000 0.0000 0.0000 5.0756 0.0000 0.0000 0.0000 5.0756" Properties=species:S:1:pos:R:3 pbc="T T T"
Pr 0.0000 0.0000 2.5378
Pr 0.0000 2.5378 0.0000
Pr 2.5378 0.0000 0.0000
Dy 2.5378 2.5378 2.5378
```

---

No. 11
Here is crystalline SrSi2Ni at its relaxed geometry from Alexandria. Energies are from PBEsol.

## Properties
Energy relative to the elements, uncorrected = -605.9 meV/atom

Structure (extended XYZ):
```
4
Lattice="1.9463 1.1237 5.6448 -1.9463 1.1237 5.6448 0.0000 -2.2474 5.6448" Properties=species:S:1:pos:R:3 pbc="T T T"
Sr 0.0000 0.0000 0.0000
Si 0.0000 0.0000 3.4717
Si 0.0000 0.0000 13.4627
Ni 0.0000 0.0000 8.4672
```

---

No. 12
Here is crystalline Hf2H2Ir at its relaxed geometry from Alexandria. Energies are from PBEsol.

Structure (extended XYZ):
```
5
Lattice="-1.5656 1.5656 6.0828 1.5656 -1.5656 6.0828 1.5656 1.5656 -6.0828" Properties=species:S:1:pos:R:3 pbc="T T T"
Hf 0.0000 0.0000 1.6937
Hf 0.0000 0.0000 10.4720
H 1.5656 0.0000 3.0414
H 0.0000 1.5656 3.0414
Ir 0.0000 0.0000 6.0828
```

---

No. 13
Here is crystalline Al2PW at its relaxed geometry from Alexandria. Energies are from PBEsol.

## Properties
Energy of formation = 4.56 kcal/mol of atoms

Structure (extended XYZ):
```
4
Lattice="2.6297 -4.5593 0.0000 2.6297 4.5593 0.0000 -1.6640 0.0000 2.4741" Properties=species:S:1:pos:R:3 pbc="T T T"
Al 1.3149 2.2797 0.0000
Al 1.3149 -2.2797 0.0000
P 0.0000 0.0000 0.0000
W 2.6297 0.0000 0.0000
```

---

No. 14
Here is crystalline LaMoBr2 at its relaxed geometry from Alexandria. Energies are from PBEsol.

## Properties
Energy relative to the elements, uncorrected = -50.9 meV/atom

Structure (extended XYZ):
```
4
Lattice="0.0000 3.5407 3.5407 3.5407 0.0000 3.5407 3.5407 3.5407 0.0000" Properties=species:S:1:pos:R:3 pbc="T T T"
La 0.0000 0.0000 0.0000
Mo 3.5407 3.5407 3.5407
Br 1.7703 1.7703 1.7703
Br 5.3110 5.3110 5.3110
```

---

No. 15
Here is crystalline Co2NiW at its relaxed geometry from Alexandria. Energies are from PBEsol.

## Properties
Energy of formation = 1.88 kcal/mol of atoms

Structure (extended XYZ):
```
4
Lattice="4.1410 -1.2907 0.0000 4.1410 1.2907 0.0000 -0.7632 0.0000 4.3393" Properties=species:S:1:pos:R:3 pbc="T T T"
Co 1.8568 0.0000 1.0234
Co 5.6620 0.0000 3.3159
Ni 4.1410 0.0000 0.0000
W -0.3816 0.0000 2.1696
```

---

No. 16
Here is crystalline RbGa3Re at its relaxed geometry from Alexandria. Energies are from PBEsol.

## Properties
Energy of formation = -0.59 kcal/mol of atoms

Structure (extended XYZ):
```
5
Lattice="4.8950 0.0000 0.0000 0.0000 4.8950 0.0000 0.0000 0.0000 4.8950" Properties=species:S:1:pos:R:3 pbc="T T T"
Rb 0.0000 0.0000 0.0000
Ga 0.0000 2.4475 2.4475
Ga 2.4475 0.0000 2.4475
Ga 2.4475 2.4475 0.0000
Re 2.4475 2.4475 2.4475
```

---

No. 17
Here is crystalline Ba2LaFe3O9 at its relaxed geometry from Alexandria. Energies are from PBEsol.

## Properties
Energy relative to the elements, uncorrected = -2142.7 meV/atom

Structure (extended XYZ):
```
15
Lattice="5.4824 0.0000 0.0000 -2.7412 4.7479 0.0000 0.0000 0.0000 6.6814" Properties=species:S:1:pos:R:3 pbc="T T T"
Ba 0.0000 3.1652 1.0791
Ba 2.7412 1.5826 5.6023
La 0.0000 0.0000 3.3407
Fe 0.0000 0.0000 0.0000
Fe 0.0000 3.1652 4.4410
Fe 2.7412 1.5826 2.2404
O -1.3706 2.3739 3.3407
O 0.0000 1.5385 5.4900
O -1.4088 3.9786 5.4900
O 1.3324 0.7693 1.1914
O 2.7412 0.0000 3.3407
O 1.3706 2.3739 3.3407
O 1.4088 3.9786 5.4900
O 4.1500 0.7693 1.1914
O 2.7412 3.2093 1.1914
```

---

No. 18
Here is crystalline ZrRh2W at its relaxed geometry from Alexandria. Energies are from PBEsol.

## Properties
Energy of formation = 1.16 kcal/mol of atoms

Structure (extended XYZ):
```
4
Lattice="1.4029 0.8100 9.2718 -1.4029 0.8100 9.2718 0.0000 -1.6199 9.2718" Properties=species:S:1:pos:R:3 pbc="T T T"
Zr 0.0000 0.0000 0.0000
Rh 0.0000 0.0000 6.9844
Rh 0.0000 0.0000 13.9846
W 0.0000 0.0000 21.1770
```

---

No. 19
Here is crystalline Ag3SnI at its relaxed geometry from Alexandria. Energies are from PBEsol.

## Properties
Energy relative to the elements, uncorrected = 900.4 meV/atom

Structure (extended XYZ):
```
5
Lattice="5.2661 0.0000 0.0000 0.0000 5.2661 0.0000 0.0000 0.0000 5.2661" Properties=species:S:1:pos:R:3 pbc="T T T"
Ag 0.0000 0.0000 2.6330
Ag 0.0000 2.6330 0.0000
Ag 2.6330 0.0000 0.0000
Sn 2.6330 2.6330 2.6330
I 0.0000 0.0000 0.0000
```

---

No. 20
Here is crystalline FeRh3Au at its relaxed geometry from Alexandria. Energies are from PBEsol.

## Properties
Energy of formation = 49.32 kcal/mol of atoms

Structure (extended XYZ):
```
5
Lattice="4.7258 0.0000 0.0000 0.0000 4.7258 0.0000 0.0000 0.0000 4.7258" Properties=species:S:1:pos:R:3 pbc="T T T"
Fe 0.0000 0.0000 0.0000
Rh 0.0000 2.3629 2.3629
Rh 2.3629 0.0000 2.3629
Rh 2.3629 2.3629 0.0000
Au 2.3629 2.3629 2.3629
```

---

No. 21
Here is crystalline Zn2AsOsPt at its relaxed geometry from Alexandria. Energies are from PBEsol.

## Properties
Energy of formation = 24.55 kcal/mol of atoms

Structure (extended XYZ):
```
5
Lattice="4.6204 0.0000 0.0000 0.0000 4.6204 0.0000 0.0000 0.0000 4.7646" Properties=species:S:1:pos:R:3 pbc="T T T"
Zn 0.0000 2.3102 0.0000
Zn 2.3102 0.0000 0.0000
As 0.0000 0.0000 2.3823
Os 2.3102 2.3102 2.3823
Pt 2.3102 2.3102 0.0000
```

---

No. 22
Here is crystalline PRhBr2 at its relaxed geometry from Alexandria. Energies are from PBEsol.

## Properties
Energy relative to the elements, uncorrected = -533.7 meV/atom

Structure (extended XYZ):
```
4
Lattice="3.5375 0.0000 0.0000 -1.7688 3.0636 0.0000 0.0000 0.0000 8.0121" Properties=species:S:1:pos:R:3 pbc="T T T"
P 0.0000 0.0000 0.0000
Rh 1.7688 1.0212 1.0109
Br 0.0000 0.0000 5.8218
Br 0.0000 2.0424 2.6926
```

---

No. 23
Here is crystalline MgSc2TcRh at its relaxed geometry from Alexandria. Energies are from PBEsol.

## Properties
Energy of formation = 13.83 kcal/mol of atoms

Structure (extended XYZ):
```
5
Lattice="4.6848 0.0000 0.0000 0.0000 4.6848 0.0000 0.0000 0.0000 4.8353" Properties=species:S:1:pos:R:3 pbc="T T T"
Mg 0.0000 0.0000 0.0000
Sc 0.0000 2.3424 2.4177
Sc 2.3424 0.0000 2.4177
Tc 0.0000 0.0000 2.4177
Rh 2.3424 2.3424 0.0000
```

---

No. 24
Here is crystalline LiCa2Sn2 at its relaxed geometry from Alexandria. Energies are from PBEsol.

## Properties
Energy of formation = -13.22 kcal/mol of atoms

Structure (extended XYZ):
```
10
Lattice="7.6882 0.0000 0.0000 0.0000 7.6882 0.0000 0.0000 0.0000 4.6620" Properties=species:S:1:pos:R:3 pbc="T T T"
Li 0.0000 0.0000 0.0000
Li 3.8441 3.8441 0.0000
Ca 1.2719 2.5722 2.3310
Ca 2.5722 6.4162 2.3310
Ca 5.1160 1.2719 2.3310
Ca 6.4162 5.1160 2.3310
Sn 1.0439 4.8880 0.0000
Sn 2.8001 1.0439 0.0000
Sn 4.8880 6.6442 0.0000
Sn 6.6442 2.8001 0.0000
```

---

No. 25
Here is crystalline Cr2Rh at its relaxed geometry from Alexandria. Energies are from PBEsol.

## Properties
Energy of formation = -0.70 kcal/mol of atoms

Structure (extended XYZ):
```
6
Lattice="0.0000 3.2939 3.2939 3.2939 0.0000 3.2939 3.2939 3.2939 0.0000" Properties=species:S:1:pos:R:3 pbc="T T T"
Cr 0.0000 0.0000 0.0000
Cr 1.6469 1.6469 0.0000
Cr 1.6469 0.0000 1.6469
Cr 0.0000 1.6469 1.6469
Rh 2.4704 2.4704 2.4704
Rh 4.1173 4.1173 4.1173
```

---

No. 26
Here is crystalline YAg2Se at its relaxed geometry from Alexandria. Energies are from PBEsol.

## Properties
Energy relative to the elements, uncorrected = -613.0 meV/atom

Structure (extended XYZ):
```
4
Lattice="3.6556 0.0000 0.0000 0.0000 3.6556 0.0000 0.0000 0.0000 6.3611" Properties=species:S:1:pos:R:3 pbc="T T T"
Y 0.0000 0.0000 0.0000
Ag 0.0000 0.0000 2.9474
Ag 1.8278 1.8278 2.0089
Se 1.8278 1.8278 5.2154
```

---

No. 27
Here is crystalline OsRhW2 at its relaxed geometry from Alexandria. Energies are from PBEsol.

## Properties
Energy of formation = -1.49 kcal/mol of atoms

Structure (extended XYZ):
```
4
Lattice="3.9084 0.0000 0.0000 0.0000 3.9084 0.0000 0.0000 0.0000 3.8316" Properties=species:S:1:pos:R:3 pbc="T T T"
Os 0.0000 0.0000 0.0000
Rh 1.9542 1.9542 0.0000
W 0.0000 1.9542 1.9158
W 1.9542 0.0000 1.9158
```

---

No. 28
Here is crystalline LiHgRu2 at its relaxed geometry from Alexandria. Energies are from PBEsol.

## Properties
Energy of formation = 13.13 kcal/mol of atoms

Structure (extended XYZ):
```
4
Lattice="1.3727 0.7925 9.2383 -1.3727 0.7925 9.2383 0.0000 -1.5851 9.2383" Properties=species:S:1:pos:R:3 pbc="T T T"
Li 0.0000 0.0000 0.0000
Hg 0.0000 0.0000 13.8574
Ru 0.0000 0.0000 7.0143
Ru 0.0000 0.0000 20.7005
```

---

| no. | raw total energy (eV/atom) |
| --- | --- |
| 1 | -6.969 |
| 2 | -6.100 |
| 3 | -5.497 |
| 4 | -4.688 |
| 5 | -1.446 |
| 6 | -4.071 |
| 7 | -5.255 |
| 8 | -6.397 |
| 9 | -6.663 |
| 10 | -5.126 |
| 11 | -5.479 |
| 12 | -8.193 |
| 13 | -6.748 |
| 14 | -5.264 |
| 15 | -8.778 |
| 16 | -4.901 |
| 17 | -7.728 |
| 18 | -9.743 |
| 19 | -2.292 |
| 20 | -5.322 |
| 21 | -4.425 |
| 22 | -4.951 |
| 23 | -6.266 |
| 24 | -3.523 |
| 25 | -9.571 |
| 26 | -4.937 |
| 27 | -12.057 |
| 28 | -5.150 |